The following is a GGA-PBE calculation of AcErGaCu after structural relaxation, from the Alexandria database.

Cell and atoms, written as POSCAR:
```
AcErGaCu
1.0
0.000 3.708 3.708
3.708 0.000 3.708
3.708 3.708 0.000
Ac Er Ga Cu
1 1 1 1
direct
0.000 0.000 0.000 Ac
0.500 0.500 0.500 Er
0.250 0.250 0.250 Ga
0.750 0.750 0.750 Cu
```

Properties
* ρ: 8.59 g/cm³
* ΔH_f (0 K): -0.2791 eV/atom
* total energy: -4.228 eV per atom
* DOS at the Fermi energy: 3.13 states/eV/cell